w:
A relaxed structure of SiAg2Hg, computed with PBE.

abc: 7.158 7.158 7.158
angles: 157.04 144.98 42.30
Element x y z (fractional)
Si  0.000  0.000  0.000
Ag  0.166  0.666  0.500
Ag  0.458  0.458  0.000
Hg  0.780  0.280  0.500

Computed properties:
Mass density ... 9.0 Mg/m³
Symmetry ... Imm2

---

x:
A relaxed structure of SiAg2Hg, computed with PBE.

abc: 6.117 6.117 6.117
angles: 101.82 101.82 126.18
Element x y z (fractional)
Si  0.000  0.000  0.000
Si  0.750  0.250  0.500
Ag  0.078  0.625  0.953
Ag  0.375  0.328  0.453
Ag  0.672  0.125  0.047
Ag  0.875  0.922  0.547
Hg  0.250  0.750  0.500
Hg  0.500  0.500  0.000

Computed properties:
Mass density ... 9.0 Mg/m³
Symmetry ... I-42d

---

y:
A relaxed structure of SiAg2Hg, computed with PBE.

abc: 9.324 9.324 9.324
angles: 18.88 18.88 18.88
Element x y z (fractional)
Si  0.000  0.000  0.000
Ag  0.258  0.258  0.258
Ag  0.742  0.742  0.742
Hg  0.500  0.500  0.500

Computed properties:
Mass density ... 9.9 Mg/m³
Symmetry ... R-3m

---

The least stable of them is x.

---

w:
A relaxed structure of SiAg3Hg, computed with PBE.

abc: 5.176 5.176 5.176
angles: 90.00 90.00 90.00
Element x y z (fractional)
Si  0.000  0.000  0.000
Ag  0.000  0.500  0.500
Ag  0.500  0.000  0.500
Ag  0.500  0.500  0.000
Hg  0.500  0.500  0.500

Computed properties:
Mass density ... 6.6 Mg/m³
Symmetry ... Pm-3m

---

x:
A relaxed structure of SiAg3Hg, computed with PBE.

abc: 4.863 4.863 4.863
angles: 90.00 90.00 90.00
Element x y z (fractional)
Si  0.000  0.000  0.000
Ag  0.000  0.000  0.500
Ag  0.000  0.500  0.000
Ag  0.500  0.000  0.000
Hg  0.500  0.500  0.500

Computed properties:
Mass density ... 8.0 Mg/m³
Symmetry ... Pm-3m

---

The least stable of them is w.

---

w:
A relaxed structure of Si2AgHg2, computed with PBE.

abc: 6.180 6.180 6.180
angles: 136.92 136.92 62.56
Element x y z (fractional)
Si  0.108  0.108  0.000
Si  0.892  0.892  0.000
Ag  0.500  0.500  0.000
Hg  0.250  0.750  0.500
Hg  0.750  0.250  0.500

Computed properties:
Mass density ... 8.6 Mg/m³
Symmetry ... I4/mmm

---

x:
A relaxed structure of Si2AgHg2, computed with PBE.

abc: 8.983 8.983 8.983
angles: 157.92 157.92 31.43
Element x y z (fractional)
Si  0.250  0.750  0.500
Si  0.750  0.250  0.500
Ag  0.000  0.000  0.000
Hg  0.398  0.398  0.000
Hg  0.602  0.602  0.000

Computed properties:
Mass density ... 9.2 Mg/m³
Symmetry ... I4/mmm

---

y:
A relaxed structure of Si2AgHg2, computed with PBE.

abc: 6.482 6.482 5.244
angles: 90.00 90.00 90.00
Element x y z (fractional)
Si  0.132  0.368  0.000
Si  0.368  0.868  0.000
Si  0.632  0.132  0.000
Si  0.868  0.632  0.000
Ag  0.000  0.000  0.000
Ag  0.500  0.500  0.000
Hg  0.176  0.324  0.500
Hg  0.324  0.824  0.500
Hg  0.676  0.176  0.500
Hg  0.824  0.676  0.500

Computed properties:
Mass density ... 8.5 Mg/m³
Symmetry ... P4/mbm

---

The least stable of them is w.

---

w:
A relaxed structure of SiAg2Hg2, computed with PBE.

abc: 7.829 7.829 3.459
angles: 90.00 90.00 90.00
Element x y z (fractional)
Si  0.000  0.000  0.000
Si  0.500  0.500  0.000
Ag  0.131  0.369  0.500
Ag  0.369  0.869  0.500
Ag  0.631  0.131  0.500
Ag  0.869  0.631  0.500
Hg  0.168  0.668  0.000
Hg  0.332  0.168  0.000
Hg  0.668  0.832  0.000
Hg  0.832  0.332  0.000

Computed properties:
Mass density ... 10.1 Mg/m³
Symmetry ... P4/mbm

---

x:
A relaxed structure of SiAg2Hg2, computed with PBE.

abc: 6.887 6.887 4.440
angles: 90.00 90.00 90.00
Element x y z (fractional)
Si  0.000  0.000  0.000
Si  0.500  0.500  0.000
Ag  0.154  0.346  0.000
Ag  0.346  0.846  0.000
Ag  0.654  0.154  0.000
Ag  0.846  0.654  0.000
Hg  0.156  0.656  0.500
Hg  0.344  0.156  0.500
Hg  0.656  0.844  0.500
Hg  0.844  0.344  0.500

Computed properties:
Mass density ... 10.2 Mg/m³
Symmetry ... P4/mbm

---

The least stable of them is w.

---

w:
A relaxed structure of SmAgHg6, computed with PBE.

abc: 4.997 6.576 6.576
angles: 65.66 90.00 90.00
Element x y z (fractional)
Sm  0.000  0.000  0.000
Ag  0.500  0.223  0.223
Hg  0.000  0.013  0.492
Hg  0.000  0.492  0.013
Hg  0.000  0.492  0.492
Hg  0.500  0.307  0.747
Hg  0.500  0.747  0.307
Hg  0.500  0.800  0.800

Computed properties:
Mass density ... 12.3 Mg/m³
Symmetry ... Amm2

---

x:
A relaxed structure of SmAgHg6, computed with PBE.

abc: 8.823 8.823 8.823
angles: 40.40 40.40 40.40
Element x y z (fractional)
Sm  0.000  0.000  0.000
Ag  0.500  0.500  0.500
Hg  0.066  0.066  0.556
Hg  0.066  0.556  0.066
Hg  0.444  0.934  0.934
Hg  0.556  0.066  0.066
Hg  0.934  0.444  0.934
Hg  0.934  0.934  0.444

Computed properties:
Mass density ... 9.3 Mg/m³
Symmetry ... R-3m

---

The least stable of them is x.

---

w:
A relaxed structure of Sm4Ag3Hg, computed with PBE.

abc: 3.781 4.905 11.498
angles: 90.00 90.00 90.00
Element x y z (fractional)
Sm  0.000  0.000  0.000
Sm  0.000  0.500  0.282
Sm  0.500  0.000  0.490
Sm  0.500  0.500  0.788
Ag  0.000  0.500  0.558
Ag  0.500  0.000  0.217
Ag  0.500  0.500  0.064
Hg  0.000  0.000  0.721

Computed properties:
Mass density ... 8.8 Mg/m³
Symmetry ... Pmm2

---

x:
A relaxed structure of Sm4Ag3Hg, computed with PBE.

abc: 3.728 3.728 14.958
angles: 90.00 90.00 90.00
Element x y z (fractional)
Sm  0.000  0.000  0.124
Sm  0.000  0.000  0.371
Sm  0.000  0.000  0.629
Sm  0.000  0.000  0.876
Ag  0.500  0.500  0.000
Ag  0.500  0.500  0.247
Ag  0.500  0.500  0.753
Hg  0.500  0.500  0.500

Computed properties:
Mass density ... 9.0 Mg/m³
Symmetry ... P4/mmm

---

The least stable of them is w.